1.
BeFeCu4Si2: optimized geometry, PBE-GGA.

The offset from the most stable computed form comes out at 0.000 eV/atom. The calculation puts the mass density at 6.91 g/cm3. The total magnetization comes out at 2.4 μB/f.u.

The structure belongs to space group P4/mmm (No. 123); the cell edges are 3.826, 3.826 and 6.155 Å and the angles 90.00°, 90.00° and 90.00°. The asymmetric unit holds Be at (0.000, 0.000, 0.000), Fe at (0.500, 0.500, 0.500), Cu at (0.000, 0.500, 0.231), Si at (0.000, 0.000, 0.500) and Si at (0.500, 0.500, 0.000).



2.
BeFeCuSn: optimized geometry, PBE-GGA.

The offset from the most stable computed form comes out at 0.000 eV/atom. The calculation puts the mass density at 7.88 g/cm3. The total magnetization comes out at 1.6 μB/f.u.

The structure belongs to space group F-43m (No. 216); the cell edges are 5.927, 5.927 and 5.927 Å and the angles 90.00°, 90.00° and 90.00°. The asymmetric unit holds Be at (0.000, 0.000, 0.000), Fe at (0.250, 0.250, 0.250), Cu at (0.250, 0.250, 0.750) and Sn at (0.000, 0.000, 0.500).



3.
BeFeCu4Sn2: optimized geometry, PBE-GGA.

Its total energy is -0.15242 Ha/atom. The calculation puts the mass density at 8.24 g/cm3. The total magnetization comes out at 2.7 μB/f.u.

The structure belongs to space group P4/mmm (No. 123); the cell edges are 4.216, 4.216 and 6.305 Å and the angles 90.00°, 90.00° and 90.00°. The asymmetric unit holds Be at (0.000, 0.000, 0.000), Fe at (0.500, 0.500, 0.500), Cu at (0.000, 0.500, 0.238), Sn at (0.000, 0.000, 0.500) and Sn at (0.500, 0.500, 0.000).



4.
BeFeCuTc: optimized geometry, PBE-GGA.

The offset from the most stable computed form comes out at 0.000 eV/atom. The calculation puts the mass density at 8.41 g/cm3. The total magnetization comes out at 0.0 μB/f.u.

The structure belongs to space group F-43m (No. 216); the cell edges are 5.633, 5.633 and 5.633 Å and the angles 90.00°, 90.00° and 90.00°. The asymmetric unit holds Be at (0.000, 0.000, 0.000), Fe at (0.000, 0.000, 0.500), Cu at (0.250, 0.250, 0.750) and Tc at (0.250, 0.250, 0.250).



5.
BeFeCuTc: optimized geometry, PBE-GGA.

The offset from the most stable computed form comes out at 0.193 eV/atom. The calculation puts the mass density at 8.07 g/cm3. The total magnetization comes out at 2.9 μB/f.u.

The structure belongs to space group F-43m (No. 216); the cell edges are 5.712, 5.712 and 5.712 Å and the angles 90.00°, 90.00° and 90.00°. The asymmetric unit holds Be at (0.000, 0.000, 0.000), Fe at (0.250, 0.250, 0.250), Cu at (0.000, 0.000, 0.500) and Tc at (0.250, 0.250, 0.750).



6.
BeZn2FeCu4: optimized geometry, PBE-GGA.

Its total energy is -0.13367 Ha/atom. The calculation puts the mass density at 7.96 g/cm3. The total magnetization comes out at 2.4 μB/f.u.

The structure belongs to space group P4/mmm (No. 123); the cell edges are 3.950, 3.950 and 6.011 Å and the angles 90.00°, 90.00° and 90.00°. The asymmetric unit holds Be at (0.000, 0.000, 0.000), Zn at (0.000, 0.000, 0.500), Zn at (0.500, 0.500, 0.000), Fe at (0.500, 0.500, 0.500) and Cu at (0.000, 0.500, 0.238).



7.
BeGaCu2: optimized geometry, PBE-GGA.

Its total energy is -0.13241 Ha/atom. The calculation puts the mass density at 7.44 g/cm3.

The structure belongs to space group Pm-3m (No. 221); the cell edges are 5.686, 5.686 and 5.686 Å and the angles 90.00°, 90.00° and 90.00°. The asymmetric unit holds Be at (0.000, 0.000, 0.000), Be at (0.000, 0.000, 0.500), Ga at (0.000, 0.500, 0.500), Ga at (0.500, 0.500, 0.500) and Cu at (0.231, 0.231, 0.231).



8.
BeGa2Cu: optimized geometry, PBE-GGA.

Its total energy is -0.11295 Ha/atom. The calculation puts the mass density at 6.33 g/cm3.

The structure belongs to space group F-43m (No. 216); the cell edges are 6.059, 6.059 and 6.059 Å and the angles 90.00°, 90.00° and 90.00°. The asymmetric unit holds Be at (0.000, 0.000, 0.000), Ga at (0.000, 0.000, 0.500), Ga at (0.250, 0.250, 0.750) and Cu at (0.250, 0.250, 0.250).



9.
BeGaCu2: optimized geometry, PBE-GGA.

Its total energy is -0.12951 Ha/atom. The calculation puts the mass density at 7.26 g/cm3.

The structure belongs to space group F-43m (No. 216); the cell edges are 5.732, 5.732 and 5.732 Å and the angles 90.00°, 90.00° and 90.00°. The asymmetric unit holds Be at (0.000, 0.000, 0.000), Ga at (0.250, 0.250, 0.250), Cu at (0.000, 0.000, 0.500) and Cu at (0.250, 0.250, 0.750).



10.
BeGaCu2: optimized geometry, PBE-GGA.

Its total energy is -0.13244 Ha/atom. The calculation puts the mass density at 7.42 g/cm3.

The structure belongs to space group Pm-3m (No. 221); the cell edges are 5.691, 5.691 and 5.691 Å and the angles 90.00°, 90.00° and 90.00°. The asymmetric unit holds Be at (0.000, 0.000, 0.000), Be at (0.000, 0.000, 0.500), Ga at (0.000, 0.500, 0.500), Ga at (0.500, 0.500, 0.500) and Cu at (0.231, 0.231, 0.231).



11.
BeGaCu: optimized geometry, PBE-GGA.

Its total energy is -0.11768 Ha/atom. The calculation puts the mass density at 5.57 g/cm3.

The structure belongs to space group F-43m (No. 216); the cell edges are 5.535, 5.535 and 5.535 Å and the angles 90.00°, 90.00° and 90.00°. The asymmetric unit holds Be at (0.000, 0.000, 0.000), Ga at (0.250, 0.250, 0.250) and Cu at (0.000, 0.000, 0.500).



12.
Be2GaCu: optimized geometry, PBE-GGA.

Its total energy is -0.12279 Ha/atom. The calculation puts the mass density at 5.68 g/cm3.

The structure belongs to space group F-43m (No. 216); the cell edges are 5.614, 5.614 and 5.614 Å and the angles 90.00°, 90.00° and 90.00°. The asymmetric unit holds Be at (0.000, 0.000, 0.000), Be at (0.250, 0.250, 0.250), Ga at (0.000, 0.000, 0.500) and Cu at (0.250, 0.250, 0.750).



13.
HfBeGaCu: optimized geometry, PBE-GGA.

The offset from the most stable computed form comes out at 0.059 eV/atom. The calculation puts the mass density at 9.26 g/cm3. The total magnetization comes out at 0.0 μB/f.u.

The structure belongs to space group F-43m (No. 216); the cell edges are 6.128, 6.128 and 6.128 Å and the angles 90.00°, 90.00° and 90.00°. The asymmetric unit holds Hf at (0.000, 0.000, 0.000), Be at (0.250, 0.250, 0.750), Ga at (0.250, 0.250, 0.250) and Cu at (0.000, 0.000, 0.500).



14.
HfBeGaCu: optimized geometry, PBE-GGA.

The offset from the most stable computed form comes out at 0.000 eV/atom. The calculation puts the mass density at 9.41 g/cm3. The total magnetization comes out at 0.0 μB/f.u.

The structure belongs to space group F-43m (No. 216); the cell edges are 6.095, 6.095 and 6.095 Å and the angles 90.00°, 90.00° and 90.00°. The asymmetric unit holds Hf at (0.000, 0.000, 0.000), Be at (0.250, 0.250, 0.250), Ga at (0.000, 0.000, 0.500) and Cu at (0.250, 0.250, 0.750).



15.
LiBeGa2Cu4: optimized geometry, PBE-GGA.

Its total energy is -0.12665 Ha/atom. The calculation puts the mass density at 7.05 g/cm3.

The structure belongs to space group P4/mmm (No. 123); the cell edges are 4.083, 4.083 and 5.787 Å and the angles 90.00°, 90.00° and 90.00°. The asymmetric unit holds Li at (0.000, 0.000, 0.000), Be at (0.500, 0.500, 0.500), Ga at (0.000, 0.000, 0.500), Ga at (0.500, 0.500, 0.000) and Cu at (0.000, 0.500, 0.260).



16.
LuBeGaCu: optimized geometry, PBE-GGA.

The offset from the most stable computed form comes out at 0.094 eV/atom. The calculation puts the mass density at 8.47 g/cm3. The total magnetization comes out at 0.0 μB/f.u.

The structure belongs to space group F-43m (No. 216); the cell edges are 6.290, 6.290 and 6.290 Å and the angles 90.00°, 90.00° and 90.00°. The asymmetric unit holds Lu at (0.000, 0.000, 0.000), Be at (0.250, 0.250, 0.750), Ga at (0.250, 0.250, 0.250) and Cu at (0.000, 0.000, 0.500).



17.
LuBeGaCu: optimized geometry, PBE-GGA.

The offset from the most stable computed form comes out at 0.000 eV/atom. The calculation puts the mass density at 8.80 g/cm3. The total magnetization comes out at 0.0 μB/f.u.

The structure belongs to space group F-43m (No. 216); the cell edges are 6.211, 6.211 and 6.211 Å and the angles 90.00°, 90.00° and 90.00°. The asymmetric unit holds Lu at (0.000, 0.000, 0.000), Be at (0.250, 0.250, 0.250), Ga at (0.000, 0.000, 0.500) and Cu at (0.250, 0.250, 0.750).



18.
BeNbGaCu: optimized geometry, PBE-GGA.

The offset from the most stable computed form comes out at 0.000 eV/atom. The calculation puts the mass density at 7.20 g/cm3. The total magnetization comes out at 0.0 μB/f.u.

The structure belongs to space group F-43m (No. 216); the cell edges are 6.010, 6.010 and 6.010 Å and the angles 90.00°, 90.00° and 90.00°. The asymmetric unit holds Be at (0.000, 0.000, 0.000), Nb at (0.250, 0.250, 0.250), Ga at (0.000, 0.000, 0.500) and Cu at (0.250, 0.250, 0.750).



19.
BeNbGaCu: optimized geometry, PBE-GGA.

The offset from the most stable computed form comes out at 0.035 eV/atom. The calculation puts the mass density at 7.19 g/cm3. The total magnetization comes out at 0.1 μB/f.u.

The structure belongs to space group F-43m (No. 216); the cell edges are 6.012, 6.012 and 6.012 Å and the angles 90.00°, 90.00° and 90.00°. The asymmetric unit holds Be at (0.000, 0.000, 0.000), Nb at (0.250, 0.250, 0.750), Ga at (0.250, 0.250, 0.250) and Cu at (0.000, 0.000, 0.500).



20.
BeGa2Cu4Ni: optimized geometry, PBE-GGA.

Its total energy is -0.14162 Ha/atom. The calculation puts the mass density at 8.10 g/cm3. The total magnetization comes out at 0.0 μB/f.u.

The structure belongs to space group P4/mmm (No. 123); the cell edges are 4.005, 4.005 and 5.893 Å and the angles 90.00°, 90.00° and 90.00°. The asymmetric unit holds Be at (0.000, 0.000, 0.000), Ga at (0.000, 0.000, 0.500), Ga at (0.500, 0.500, 0.000), Cu at (0.000, 0.500, 0.237) and Ni at (0.500, 0.500, 0.500).



21.
BeGa2CuPt4: optimized geometry, PBE-GGA.

Its total energy is -0.19376 Ha/atom. The calculation puts the mass density at 14.78 g/cm3. The total magnetization comes out at 0.0 μB/f.u.

The structure belongs to space group P4/mmm (No. 123); the cell edges are 4.003, 4.003 and 6.955 Å and the angles 90.00°, 90.00° and 90.00°. The asymmetric unit holds Be at (0.000, 0.000, 0.000), Ga at (0.000, 0.000, 0.500), Ga at (0.500, 0.500, 0.000), Cu at (0.500, 0.500, 0.500) and Pt at (0.000, 0.500, 0.234).



22.
BeGaCuRe: optimized geometry, PBE-GGA.

The offset from the most stable computed form comes out at 0.000 eV/atom. The calculation puts the mass density at 10.82 g/cm3. The total magnetization comes out at 0.0 μB/f.u.

The structure belongs to space group F-43m (No. 216); the cell edges are 5.865, 5.865 and 5.865 Å and the angles 90.00°, 90.00° and 90.00°. The asymmetric unit holds Be at (0.000, 0.000, 0.000), Ga at (0.000, 0.000, 0.500), Cu at (0.250, 0.250, 0.750) and Re at (0.250, 0.250, 0.250).



23.
BeGaCuRe: optimized geometry, PBE-GGA.

The offset from the most stable computed form comes out at 0.165 eV/atom. The calculation puts the mass density at 10.96 g/cm3. The total magnetization comes out at 0.0 μB/f.u.

The structure belongs to space group F-43m (No. 216); the cell edges are 5.839, 5.839 and 5.839 Å and the angles 90.00°, 90.00° and 90.00°. The asymmetric unit holds Be at (0.000, 0.000, 0.000), Ga at (0.250, 0.250, 0.250), Cu at (0.000, 0.000, 0.500) and Re at (0.250, 0.250, 0.750).



24.
ScBeGa2Cu4: optimized geometry, PBE-GGA.

Its total energy is -0.14817 Ha/atom. The calculation puts the mass density at 6.96 g/cm3. The total magnetization comes out at 0.0 μB/f.u.

The structure belongs to space group P4/mmm (No. 123); the cell edges are 4.124, 4.124 and 6.280 Å and the angles 90.00°, 90.00° and 90.00°. The asymmetric unit holds Sc at (0.000, 0.000, 0.000), Be at (0.500, 0.500, 0.500), Ga at (0.000, 0.000, 0.500), Ga at (0.500, 0.500, 0.000) and Cu at (0.000, 0.500, 0.282).



25.
TaBeGaCu: optimized geometry, PBE-GGA.

The offset from the most stable computed form comes out at 0.028 eV/atom. The calculation puts the mass density at 10.04 g/cm3. The total magnetization comes out at 0.0 μB/f.u.

The structure belongs to space group F-43m (No. 216); the cell edges are 5.979, 5.979 and 5.979 Å and the angles 90.00°, 90.00° and 90.00°. The asymmetric unit holds Ta at (0.000, 0.000, 0.000), Be at (0.250, 0.250, 0.250), Ga at (0.000, 0.000, 0.500) and Cu at (0.250, 0.250, 0.750).



26.
TaBeGaCu: optimized geometry, PBE-GGA.

The offset from the most stable computed form comes out at 0.000 eV/atom. The calculation puts the mass density at 9.85 g/cm3. The total magnetization comes out at 0.0 μB/f.u.

The structure belongs to space group F-43m (No. 216); the cell edges are 6.018, 6.018 and 6.018 Å and the angles 90.00°, 90.00° and 90.00°. The asymmetric unit holds Ta at (0.000, 0.000, 0.000), Be at (0.250, 0.250, 0.750), Ga at (0.250, 0.250, 0.250) and Cu at (0.000, 0.000, 0.500).



27.
BeGaCuTc: optimized geometry, PBE-GGA.

The offset from the most stable computed form comes out at 0.168 eV/atom. The calculation puts the mass density at 8.07 g/cm3. The total magnetization comes out at 0.0 μB/f.u.

The structure belongs to space group F-43m (No. 216); the cell edges are 5.827, 5.827 and 5.827 Å and the angles 90.00°, 90.00° and 90.00°. The asymmetric unit holds Be at (0.000, 0.000, 0.000), Ga at (0.250, 0.250, 0.250), Cu at (0.000, 0.000, 0.500) and Tc at (0.250, 0.250, 0.750).



28.
BeGaCuTc: optimized geometry, PBE-GGA.

The offset from the most stable computed form comes out at 0.000 eV/atom. The calculation puts the mass density at 8.11 g/cm3. The total magnetization comes out at 0.0 μB/f.u.

The structure belongs to space group F-43m (No. 216); the cell edges are 5.818, 5.818 and 5.818 Å and the angles 90.00°, 90.00° and 90.00°. The asymmetric unit holds Be at (0.000, 0.000, 0.000), Ga at (0.000, 0.000, 0.500), Cu at (0.250, 0.250, 0.750) and Tc at (0.250, 0.250, 0.250).